DFT (PBE) results for a relaxed Pa2Si3Pd5 crystal.

Cell lengths 5.8328, 8.2993, 8.2993 Å; angles 83.01, 69.43, 69.43 degrees
Last column: nearest neighbours and their distance in Å.
Fractional coordinates of all 20 atoms:
Pa  0.1368  0.5862  0.1401  2 Pd 2.79-3.07, 3 Si 3.03-3.12
Pa  0.6368  0.1401  0.5862  2 Pd 2.79-3.07, 3 Si 3.03-3.12
Pa  0.8632  0.4138  0.8599  2 Pd 2.79-3.07, 3 Si 3.03-3.12
Pa  0.3632  0.8599  0.4138  2 Pd 2.79-3.07, 3 Si 3.03-3.12
Si  0.3646  0.5140  0.7569  5 Pd 2.43-2.47
Si  0.8646  0.7569  0.5140  5 Pd 2.43-2.47
Si  0.6354  0.4860  0.2431  5 Pd 2.43-2.47
Si  0.1354  0.2431  0.4860  5 Pd 2.43-2.47
Si  0.2500  0.0000  0.0000  6 Pd 2.51-2.56
Si  0.7500  0.0000  0.0000  6 Pd 2.51-2.56
Pd  0.4097  0.2529  0.9277  3 Si 2.43-2.51
Pd  0.9097  0.9277  0.2529  3 Si 2.43-2.51
Pd  0.5903  0.7471  0.0723  3 Si 2.43-2.51
Pd  0.0903  0.0723  0.7471  3 Si 2.43-2.51
Pd  0.4833  0.7667  0.7667  3 Si 2.45-2.56
Pd  0.5167  0.2333  0.2333  3 Si 2.45-2.56
Pd  0.7500  0.5000  0.5000  4 Si 2.47
Pd  0.2500  0.5000  0.5000  4 Si 2.47
Pd  0.0167  0.2333  0.2333  3 Si 2.45-2.56
Pd  0.9833  0.7667  0.7667  3 Si 2.45-2.56

Calculated values
- Space group: Ibam (72)
- Uncorrected formation energy: -699 meV per atom
- DFT total energy: -6.821 eV per atom